80
Lattice="-8.3701 8.3701 8.3701 8.3701 -8.3701 8.3701 8.3701 8.3701 -8.3701" Properties=species:S:1:pos:R:3 comment="Cd3Sb12Au5, optimized geometry, DFT PBE-GGA" formation_energy_uncorrected_ev_per_atom=0.123 spacegroup=Ia-3d magmom_total_mub_per_atom=0.00 n_ef_per_ev_cell=34.6 pbc="T T T"
Cd 4.1851 2.0925 0.0000
Cd 8.3701 4.1851 -2.0925
Cd 2.0925 0.0000 4.1851
Cd 10.4626 0.0000 4.1851
Cd 0.0000 4.1851 2.0925
Cd 4.1851 -2.0925 8.3701
Cd 4.1851 10.4626 0.0000
Cd 8.3701 4.1851 6.2776
Cd -2.0925 8.3701 4.1851
Cd 6.2776 8.3701 4.1851
Cd 0.0000 4.1851 10.4626
Cd 4.1851 6.2776 8.3701
Sb 2.3833 -0.6056 1.3613
Sb 10.1718 5.5464 -4.7906
Sb 7.7645 -1.3613 2.3833
Sb 13.1607 -1.8017 2.8237
Sb 1.3613 2.3833 -0.6056
Sb 11.1938 3.5795 -1.8017
Sb 10.7534 0.6056 1.3613
Sb 10.1718 -2.8237 4.7906
Sb 5.5464 4.7906 -1.8017
Sb 7.0088 2.3833 0.6056
Sb -0.6056 1.3613 2.3833
Sb 4.7906 -1.8017 5.5464
Sb 7.7645 7.0088 -2.3833
Sb 4.7906 1.8017 2.8237
Sb 7.0088 -2.3833 7.7645
Sb 5.5464 -4.7906 10.1718
Sb 2.3833 7.7645 -1.3613
Sb 10.1718 2.8237 3.5795
Sb 2.8237 4.7906 1.8017
Sb 9.7314 5.9868 0.6056
Sb 4.7906 10.1718 -2.8237
Sb 7.7645 1.3613 5.9868
Sb 1.8017 2.8237 4.7906
Sb 2.3833 0.6056 7.0088
Sb 5.9868 7.7645 1.3613
Sb 6.5684 5.5464 3.5795
Sb 0.6056 7.0088 2.3833
Sb 3.5795 -1.8017 11.1938
Sb -1.3613 2.3833 7.7645
Sb 5.5464 3.5795 6.5684
Sb -1.8017 5.5464 4.7906
Sb 5.9868 0.6056 9.7314
Sb 2.8237 13.1607 -1.8017
Sb 1.3613 10.7534 0.6056
Sb 3.5795 6.5684 5.5464
Sb 0.6056 1.3613 10.7534
Sb 3.5795 10.1718 2.8237
Sb 8.9757 7.0088 5.9868
Sb 1.3613 5.9868 7.7645
Sb 2.8237 3.5795 10.1718
Sb -1.8017 11.1938 3.5795
Sb -2.3833 7.7645 7.0088
Sb -2.8237 4.7906 10.1718
Sb 7.0088 5.9868 8.9757
Sb -4.7906 10.1718 5.5464
Sb 0.6056 9.7314 5.9868
Sb -1.8017 2.8237 13.1607
Sb 5.9868 8.9757 7.0088
Au 0.0000 0.0000 0.0000
Au 4.1851 4.1851 -4.1851
Au 4.1851 -4.1851 4.1851
Au 8.3701 0.0000 0.0000
Au 12.5552 2.0925 0.0000
Au 8.3701 -4.1851 6.2776
Au 6.2776 8.3701 -4.1851
Au 6.2776 0.0000 4.1851
Au 4.1851 6.2776 0.0000
Au 8.3701 4.1851 2.0925
Au -4.1851 4.1851 4.1851
Au 0.0000 8.3701 0.0000
Au 0.0000 0.0000 8.3701
Au 4.1851 4.1851 4.1851
Au 0.0000 4.1851 6.2776
Au 4.1851 2.0925 8.3701
Au 2.0925 8.3701 4.1851
Au 2.0925 0.0000 12.5552
Au 0.0000 12.5552 2.0925
Au -4.1851 6.2776 8.3701

---

9
Lattice="6.1623 -3.9004 0.0000 6.1623 3.9004 0.0000 -1.8984 0.0000 4.5061" Properties=species:S:1:pos:R:3 comment="Cd6SbAu2, optimized geometry, DFT PBE-GGA" formation_energy_uncorrected_ev_per_atom=-0.094 spacegroup=C2/m magmom_total_mub_per_atom=0.00 n_ef_per_ev_cell=1.7 pbc="T T T"
Cd 3.3334 1.4997 1.4407
Cd 6.1623 2.0036 0.0000
Cd 7.0927 1.4997 3.0654
Cd 3.3334 -1.4997 1.4407
Cd 6.1623 -2.0036 0.0000
Cd 7.0927 -1.4997 3.0654
Sb -0.9492 0.0000 2.2531
Au 2.3963 0.0000 3.6983
Au 8.0298 0.0000 0.8079

---

5
Lattice="5.4666 0.0000 0.0000 0.0000 5.4666 0.0000 0.0000 0.0000 5.4666" Properties=species:S:1:pos:R:3 comment="CdSb3Au, optimized geometry, DFT PBE-GGA" formation_energy_uncorrected_ev_per_atom=0.950 spacegroup=Pm-3m magmom_total_mub_per_atom=0.00 n_ef_per_ev_cell=4.4 pbc="T T T"
Cd 0.0000 0.0000 0.0000
Sb 0.0000 0.0000 2.7333
Sb 0.0000 2.7333 0.0000
Sb 2.7333 0.0000 0.0000
Au 2.7333 2.7333 2.7333

---

16
Lattice="6.9923 0.0000 0.0000 0.0000 6.9923 0.0000 0.0000 0.0000 6.9923" Properties=species:S:1:pos:R:3 comment="CdSbAu2, optimized geometry, DFT PBE-GGA" formation_energy_uncorrected_ev_per_atom=0.120 polymorph_energy_mev_per_atom=213 spacegroup=F-43m magmom_total_mub_per_atom=0.00 n_ef_per_ev_cell=7.6 pbc="T T T"
Cd 0.0000 0.0000 0.0000
Cd 0.0000 3.4961 3.4961
Cd 3.4961 0.0000 3.4961
Cd 3.4961 3.4961 0.0000
Sb 1.7481 1.7481 5.2442
Sb 1.7481 5.2442 1.7481
Sb 5.2442 1.7481 1.7481
Sb 5.2442 5.2442 5.2442
Au 0.0000 0.0000 3.4961
Au 0.0000 3.4961 0.0000
Au 1.7481 1.7481 1.7481
Au 1.7481 5.2442 5.2442
Au 3.4961 0.0000 0.0000
Au 3.4961 3.4961 3.4961
Au 5.2442 1.7481 5.2442
Au 5.2442 5.2442 1.7481

---

10
Lattice="7.4244 0.0000 0.0000 0.0000 7.4244 0.0000 0.0000 0.0000 4.6181" Properties=species:S:1:pos:R:3 comment="Cd2Sb2Au, optimized geometry, DFT PBE-GGA" formation_energy_uncorrected_ev_per_atom=0.169 polymorph_energy_mev_per_atom=68 spacegroup=P4/mbm magmom_total_mub_per_atom=0.00 n_ef_per_ev_cell=5.0 pbc="T T T"
Cd 1.1533 2.5589 0.0000
Cd 2.5589 6.2711 0.0000
Cd 4.8655 1.1533 0.0000
Cd 6.2711 4.8655 0.0000
Sb 1.0681 4.7803 2.3091
Sb 2.6441 1.0681 2.3091
Sb 4.7803 6.3563 2.3091
Sb 6.3563 2.6441 2.3091
Au 0.0000 0.0000 0.0000
Au 3.7122 3.7122 0.0000

---

12
Lattice="3.7993 0.0000 0.0000 -1.8996 3.2903 0.0000 0.0000 0.0000 22.1399" Properties=species:S:1:pos:R:3 comment="CdSbAu2, optimized geometry, DFT PBE-GGA" formation_energy_uncorrected_ev_per_atom=-0.019 polymorph_energy_mev_per_atom=74 spacegroup=R-3m magmom_total_mub_per_atom=0.00 n_ef_per_ev_cell=3.6 pbc="T T T"
Cd 0.0000 0.0000 0.0000
Cd 0.0000 2.1935 14.7599
Cd 1.8997 1.0968 7.3799
Sb 0.0000 0.0000 11.0699
Sb 0.0000 2.1935 3.6900
Sb 1.8997 1.0968 18.4499
Au 0.0000 0.0000 5.5244
Au 0.0000 0.0000 16.6155
Au 0.0000 2.1935 9.2355
Au 0.0000 2.1935 20.2842
Au 1.8997 1.0968 1.8556
Au 1.8997 1.0968 12.9043

---

8
Lattice="8.4291 0.0000 0.0000 0.0000 3.4841 0.0000 -1.4774 0.0000 6.0420" Properties=species:S:1:pos:R:3 comment="CdSbAu2, optimized geometry, DFT PBE-GGA" formation_energy_uncorrected_ev_per_atom=-0.036 polymorph_energy_mev_per_atom=57 spacegroup=C2/m magmom_total_mub_per_atom=0.00 n_ef_per_ev_cell=2.9 pbc="T T T"
Cd 0.0000 0.0000 0.0000
Cd 4.2145 1.7420 0.0000
Sb -0.7387 1.7420 3.0210
Sb 3.4758 0.0000 3.0210
Au 1.7335 1.7420 1.4734
Au 1.0036 0.0000 4.5686
Au 5.9481 0.0000 1.4734
Au 5.2181 1.7420 4.5686

---

9
Lattice="4.5027 0.0000 0.0000 -1.1623 6.1748 0.0000 -0.3502 -1.7059 8.3985" Properties=species:S:1:pos:R:3 comment="Cd6Sb2Au, optimized geometry, DFT PBE-GGA" formation_energy_uncorrected_ev_per_atom=-0.032 spacegroup=P-1 magmom_total_mub_per_atom=0.00 n_ef_per_ev_cell=2.9 pbc="T T T"
Cd -0.2477 1.1486 2.5683
Cd -0.2280 0.3584 6.4423
Cd 0.7421 2.7452 8.1013
Cd 2.2481 1.7237 0.2971
Cd 3.2182 4.1105 1.9562
Cd 3.2379 3.3202 5.8301
Sb 0.9932 3.8745 3.9475
Sb 1.9970 0.5944 4.4509
Au 0.0000 0.0000 0.0000

---

16
Lattice="5.2304 0.0000 0.0000 0.0000 5.2304 0.0000 0.0000 0.0000 16.9749" Properties=species:S:1:pos:R:3 comment="CdSb2Au, optimized geometry, DFT PBE-GGA" formation_energy_uncorrected_ev_per_atom=0.091 spacegroup=I-42d magmom_total_mub_per_atom=0.00 n_ef_per_ev_cell=8.1 pbc="T T T"
Cd 0.0000 0.0000 0.0000
Cd 0.0000 2.6152 4.2437
Cd 2.6152 0.0000 12.7312
Cd 2.6152 2.6152 8.4875
Sb 1.1343 1.3076 10.6093
Sb 1.3076 3.7495 14.8530
Sb 1.3076 4.0961 6.3656
Sb 1.4809 1.3076 2.1219
Sb 3.7495 3.9228 2.1219
Sb 3.9228 1.1343 6.3656
Sb 3.9228 1.4809 14.8530
Sb 4.0961 3.9228 10.6093
Au 0.0000 0.0000 8.4875
Au 0.0000 2.6152 12.7312
Au 2.6152 0.0000 4.2437
Au 2.6152 2.6152 0.0000

---

10
Lattice="4.2059 0.0000 0.0000 0.0000 4.2059 0.0000 0.0000 0.0000 15.4042" Properties=species:S:1:pos:R:3 comment="Cd2Sb2Au, optimized geometry, DFT PBE-GGA" formation_energy_uncorrected_ev_per_atom=0.243 polymorph_energy_mev_per_atom=142 spacegroup=I4/mmm magmom_total_mub_per_atom=0.00 n_ef_per_ev_cell=2.8 pbc="T T T"
Cd 0.0000 0.0000 1.3615
Cd 0.0000 0.0000 14.0427
Cd 2.1030 2.1030 6.3406
Cd 2.1030 2.1030 9.0636
Sb 0.0000 2.1030 3.8510
Sb 0.0000 2.1030 11.5531
Sb 2.1030 0.0000 3.8510
Sb 2.1030 0.0000 11.5531
Au 0.0000 0.0000 7.7021
Au 2.1030 2.1030 0.0000

---

3
Lattice="4.4022 0.0000 0.0000 -2.2011 3.8125 0.0000 0.0000 0.0000 4.4165" Properties=species:S:1:pos:R:3 comment="CdSbAu, optimized geometry, DFT PBE-GGA" formation_energy_uncorrected_ev_per_atom=0.004 spacegroup=P3m1 magmom_total_mub_per_atom=0.00 n_ef_per_ev_cell=1.2 pbc="T T T"
Cd 0.0000 0.0000 0.0000
Sb 2.2011 1.2708 1.8896
Au 0.0000 2.5416 3.0568

---

16
Lattice="7.2952 0.0000 0.0000 0.0000 7.2952 0.0000 0.0000 0.0000 7.2952" Properties=species:S:1:pos:R:3 comment="CdSb2Au, optimized geometry, DFT PBE-GGA" formation_energy_uncorrected_ev_per_atom=0.173 spacegroup=F-43m magmom_total_mub_per_atom=0.00 n_ef_per_ev_cell=6.2 pbc="T T T"
Cd 0.0000 0.0000 0.0000
Cd 0.0000 3.6476 3.6476
Cd 3.6476 0.0000 3.6476
Cd 3.6476 3.6476 0.0000
Sb 0.0000 0.0000 3.6476
Sb 0.0000 3.6476 0.0000
Sb 1.8238 1.8238 1.8238
Sb 1.8238 5.4714 5.4714
Sb 3.6476 0.0000 0.0000
Sb 3.6476 3.6476 3.6476
Sb 5.4714 1.8238 5.4714
Sb 5.4714 5.4714 1.8238
Au 1.8238 1.8238 5.4714
Au 1.8238 5.4714 1.8238
Au 5.4714 1.8238 1.8238
Au 5.4714 5.4714 5.4714

---

6
Lattice="3.5906 0.0000 0.0000 0.0000 4.2454 0.0000 0.0000 0.0000 8.9522" Properties=species:S:1:pos:R:3 comment="CdSbAu, optimized geometry, DFT PBE-GGA" formation_energy_uncorrected_ev_per_atom=0.063 spacegroup=Imm2 magmom_total_mub_per_atom=0.00 n_ef_per_ev_cell=2.0 pbc="T T T"
Cd 0.0000 0.0000 0.0000
Cd 1.7953 2.1227 4.4761
Sb 0.0000 0.0000 5.9968
Sb 1.7953 2.1227 1.5207
Au 0.0000 0.0000 2.9757
Au 1.7953 2.1227 7.4518

---

8
Lattice="0.0000 3.7509 5.8055 3.5962 0.0000 5.8055 3.5962 3.7509 0.0000" Properties=species:S:1:pos:R:3 comment="CdSbAu6, optimized geometry, DFT PBE-GGA" formation_energy_uncorrected_ev_per_atom=-0.038 spacegroup=Fmmm magmom_total_mub_per_atom=0.00 n_ef_per_ev_cell=2.0 pbc="T T T"
Cd 0.0000 0.0000 0.0000
Sb 3.5962 3.7509 5.8055
Au 1.7981 1.8755 1.4727
Au 3.5962 3.7509 2.8618
Au 1.7981 1.8755 4.3328
Au 5.3943 5.6264 7.2783
Au 3.5962 3.7509 8.7492
Au 5.3943 5.6264 10.1383

---

10
Lattice="3.9570 0.0000 0.0000 0.0000 3.9570 0.0000 0.0000 0.0000 16.6305" Properties=species:S:1:pos:R:3 comment="Cd2Sb2Au, optimized geometry, DFT PBE-GGA" formation_energy_uncorrected_ev_per_atom=0.230 polymorph_energy_mev_per_atom=129 spacegroup=I4/mmm magmom_total_mub_per_atom=0.00 n_ef_per_ev_cell=4.4 pbc="T T T"
Cd 0.0000 1.9785 4.1576
Cd 0.0000 1.9785 12.4729
Cd 1.9785 0.0000 4.1576
Cd 1.9785 0.0000 12.4729
Sb 0.0000 0.0000 1.4382
Sb 0.0000 0.0000 15.1923
Sb 1.9785 1.9785 6.8770
Sb 1.9785 1.9785 9.7535
Au 0.0000 0.0000 8.3152
Au 1.9785 1.9785 0.0000

---

6
Lattice="3.2381 0.0000 0.0000 0.0000 3.2381 0.0000 0.0000 0.0000 13.0178" Properties=species:S:1:pos:R:3 comment="CdSbAu, optimized geometry, DFT PBE-GGA" formation_energy_uncorrected_ev_per_atom=0.032 spacegroup=I4mm magmom_total_mub_per_atom=0.00 n_ef_per_ev_cell=1.9 pbc="T T T"
Cd 0.0000 0.0000 0.0000
Cd 1.6191 1.6191 6.5089
Sb 0.0000 0.0000 3.9446
Sb 1.6191 1.6191 10.4536
Au 0.0000 0.0000 8.3537
Au 1.6191 1.6191 1.8448

---

8
Lattice="8.6859 0.0000 0.0000 0.0000 3.1320 0.0000 -0.9351 0.0000 7.4716" Properties=species:S:1:pos:R:3 comment="CdSb2Au, optimized geometry, DFT PBE-GGA" formation_energy_uncorrected_ev_per_atom=0.009 spacegroup=Cm magmom_total_mub_per_atom=0.00 n_ef_per_ev_cell=2.0 pbc="T T T"
Cd 0.0000 0.0000 0.0000
Cd 4.3430 1.5660 0.0000
Sb 1.5877 0.0000 5.6210
Sb 3.4396 0.0000 3.2835
Sb 5.9307 1.5660 5.6210
Sb 7.7825 1.5660 3.2835
Au 1.6425 1.5660 1.7400
Au 5.9855 0.0000 1.7400

---

4
Lattice="3.7512 0.0000 0.0000 0.0000 4.3004 0.0000 -1.7968 0.0000 5.4092" Properties=species:S:1:pos:R:3 comment="CdSbAu2, optimized geometry, DFT PBE-GGA" formation_energy_uncorrected_ev_per_atom=-0.092 polymorph_energy_mev_per_atom=0 spacegroup=Pm magmom_total_mub_per_atom=0.00 n_ef_per_ev_cell=0.9 pbc="T T T"
Cd 0.0000 0.0000 0.0000
Sb 1.8746 2.1502 2.2664
Au -0.0146 0.0000 2.8899
Au 0.0877 2.1502 4.8646

---

8
Lattice="4.3829 0.0000 0.0000 0.0000 4.6804 0.0000 0.0000 0.0000 9.3761" Properties=species:S:1:pos:R:3 comment="CdSb2Au, optimized geometry, DFT PBE-GGA" formation_energy_uncorrected_ev_per_atom=0.085 spacegroup=Cmm2 magmom_total_mub_per_atom=0.00 n_ef_per_ev_cell=1.6 pbc="T T T"
Cd 0.0000 0.0000 0.0000
Cd 2.1915 2.3402 0.0000
Sb 0.0000 0.0000 4.0237
Sb 0.0000 2.3402 6.8989
Sb 2.1915 0.0000 6.8989
Sb 2.1915 2.3402 4.0237
Au 0.0000 2.3402 1.9190
Au 2.1915 0.0000 1.9190

---

8
Lattice="5.9331 0.0000 0.0000 0.0000 7.2383 0.0000 -0.0680 0.0000 3.9591" Properties=species:S:1:pos:R:3 comment="CdSbAu2, optimized geometry, DFT PBE-GGA" formation_energy_uncorrected_ev_per_atom=-0.013 polymorph_energy_mev_per_atom=79 spacegroup=C2/m magmom_total_mub_per_atom=0.00 n_ef_per_ev_cell=2.4 pbc="T T T"
Cd 0.0000 0.0000 0.0000
Cd 2.9666 3.6192 0.0000
Sb 0.0000 3.6192 0.0000
Sb 2.9666 0.0000 0.0000
Au 1.4493 1.8096 1.9795
Au 1.4493 5.4287 1.9795
Au 4.4158 1.8096 1.9795
Au 4.4158 5.4287 1.9795